P | DFT (PBEsol) results for crystalline AgPtAu2 at its relaxed geometry.

Cell lengths 2.8015, 4.0452, 5.7264 Å; angles 90.00, 90.00, 90.00 degrees
Last column: nearest neighbours and their distance in Å.
Fractional coordinates of all 4 atoms:
Ag 0.0000 0.0000 0.0000  2 Ag 2.80, 8 Au 2.85, 2 Pt 2.86
Pt 0.0000 0.0000 0.5000  2 Pt 2.80, 8 Au 2.84, 2 Ag 2.86
Au 0.5000 0.5000 0.2528  4 Au 2.80-2.90, 4 Pt 2.84, 4 Ag 2.85
Au 0.5000 0.5000 0.7472  4 Au 2.80-2.90, 4 Pt 2.84, 4 Ag 2.85

## Properties
ρ ... 17.83 g/cm3
Total magnetic moment ... 0.00 μB per formula unit



Q | DFT (PBEsol) results for crystalline AgPtAu2 at its relaxed geometry.

Cell lengths 4.8873, 4.8873, 4.9781 Å; angles 99.40, 99.40, 33.70 degrees
Last column: nearest neighbours and their distance in Å.
Fractional coordinates of all 4 atoms:
Ag 0.0000 0.0000 0.0000  6 Au 2.81-2.86, 2 Ag 2.83, 4 Pt 2.86
Pt 0.5000 0.5000 0.5000  6 Au 2.81-2.85, 2 Pt 2.83, 4 Ag 2.86
Au 0.2469 0.2469 0.7475  3 Pt 2.81-2.85, 3 Ag 2.81-2.86, 6 Au 2.83-2.88
Au 0.7531 0.7531 0.2525  3 Pt 2.81-2.85, 3 Ag 2.81-2.86, 6 Au 2.83-2.88

## Properties
ρ ... 17.80 g/cm3
Total magnetic moment ... 0.00 μB per formula unit



Which of them is most stable, and which least? Most stable: P; least stable: Q.



P | DFT (PBEsol) results for crystalline AgPtAu at its relaxed geometry.

Cell lengths 4.9033, 4.9033, 4.9033 Å; angles 146.88, 131.14, 60.30 degrees
Last column: nearest neighbours and their distance in Å.
Fractional coordinates of all 3 atoms:
Ag 0.0000 0.0000 0.0000  2 Ag 2.79, 5 Au 2.80-2.85, 5 Pt 2.83-2.84
Pt 0.3344 0.3344 0.0000  2 Pt 2.79, 5 Au 2.83-2.84, 5 Ag 2.83-2.84
Au 0.6693 0.6693 0.0000  2 Au 2.79, 5 Ag 2.80-2.85, 5 Pt 2.83-2.84

## Properties
ρ ... 17.27 g/cm3
Total magnetic moment ... 0.00 μB per formula unit



Q | DFT (PBEsol) results for crystalline AgPtAu at its relaxed geometry.

Cell lengths 6.4221, 6.4221, 6.4221 Å; angles 154.79, 154.79, 35.96 degrees
Last column: nearest neighbours and their distance in Å.
Fractional coordinates of all 3 atoms:
Ag 0.0000 0.0000 0.0000  4 Ag 2.80, 4 Pt 2.82, 4 Au 2.88
Pt 0.3361 0.3361 0.0000  4 Pt 2.80, 4 Ag 2.82, 4 Au 2.83
Au 0.6709 0.6709 0.0000  4 Au 2.80, 4 Pt 2.83, 4 Ag 2.88

## Properties
ρ ... 17.29 g/cm3
Total magnetic moment ... 0.00 μB per formula unit



Which of them is most stable, and which least? Most stable: Q; least stable: P.